First-principles (PBE) data for a geometry-optimized SmErMg5 structure, as listed in Alexandria via LeMat-Bulk.

Results
Theoretical density, g/cm3: 3.80
E_form, eV per atom: 0.1043
Total energy, eV per cell: -33.050
Total moment, μB per formula unit: 0.0

Cell: 6.3184 9.7477 6.6369 Å, 90.00 110.05 90.00°
With the nearest neighbours (Å) after each atom.
Space group C2/m (No. 12)
Unique sites:
Sm (0.0000, 0.0000, 0.0000) (multiplicity 2)  10 Mg 3.24-3.47
Er (0.0000, 0.5000, 0.5000) (multiplicity 2)  10 Mg 3.16-3.51
Mg (0.0000, 0.0000, 0.5000) (multiplicity 2)  4 Mg 2.96, 2 Er 3.16
Mg (0.2035, 0.2876, 0.2281) (multiplicity 8)  4 Mg 2.96-3.24, 1 Sm 3.24, 1 Er 3.28